An optimized crystal structure of CdOsIN2. Source: Alexandria via LeMat-Bulk, functional GGA-PBE.

Polymorph energy (0 for the lowest one) in kJ/mol of atoms: 0.0
Raw total energy in eV per atom: -5.2407
Formation energy without anion corrections in eV per atom: 0.83

Geometry as extended XYZ:
```
5
Lattice="3.937 0.000 0.000 0.000 3.937 0.000 0.000 0.000 5.957" Properties=species:S:1:pos:R:3 pbc="T T T"
Cd 0.000 0.000 0.000
Os 1.968 1.968 2.979
I 1.968 1.968 0.000
N 0.000 1.968 2.979
N 1.968 0.000 2.979
```